1.
This record from Alexandria via LeMat-Bulk describes a relaxed structure of AlCr. The functional is GGA-PBE.

Results
Energy relative to the elements (eV per atom): 0.250
E_tot (eV per cell): -205.9

```
data_AlCr
_space_group_name_H-M_alt 'F d d d'
_space_group_IT_number 70
_cell_length_a 4.3094
_cell_length_b 7.6241
_cell_length_c 13.9760
_cell_angle_alpha 90.00
_cell_angle_beta 90.00
_cell_angle_gamma 90.00
loop_
_space_group_symop_operation_xyz
'x,y,z'
'-x,-y,-z'
'-x+1/4,-y+1/4,z'
'x+1/4,y+1/4,-z'
'x,-y+1/4,-z+1/4'
'-x,y+1/4,z+1/4'
'-x+1/4,y,-z+1/4'
'x+1/4,-y,z+1/4'
'x,y+1/2,z+1/2'
'-x,-y+1/2,-z+1/2'
'-x+1/4,-y+3/4,z+1/2'
'x+1/4,y+3/4,-z+1/2'
'x,-y+3/4,-z+3/4'
'-x,y+3/4,z+3/4'
'-x+1/4,y+1/2,-z+3/4'
'x+1/4,-y+1/2,z+3/4'
'x+1/2,y,z+1/2'
'-x+1/2,-y,-z+1/2'
'-x+3/4,-y+1/4,z+1/2'
'x+3/4,y+1/4,-z+1/2'
'x+1/2,-y+1/4,-z+3/4'
'-x+1/2,y+1/4,z+3/4'
'-x+3/4,y,-z+3/4'
'x+3/4,-y,z+3/4'
'x+1/2,y+1/2,z'
'-x+1/2,-y+1/2,-z'
'-x+3/4,-y+3/4,z'
'x+3/4,y+3/4,-z'
'x+1/2,-y+3/4,-z+1/4'
'-x+1/2,y+3/4,z+1/4'
'-x+3/4,y+1/2,-z+1/4'
'x+3/4,-y+1/2,z+1/4'
loop_
_atom_site_label
_atom_site_type_symbol
_atom_site_fract_x
_atom_site_fract_y
_atom_site_fract_z
Al1 Al 0.1250 0.2908 0.1250
Cr1 Cr 0.1250 0.1250 0.5467
```

2.
This record from Alexandria via LeMat-Bulk describes a relaxed structure of ZnSbC2. The functional is GGA-PBE.

Results
Distance to the lowest polymorph of the same formula (meV/atom): 967.0
E_tot (eV per cell): -61.4

```
data_ZnSbC2
_space_group_name_H-M_alt 'F m -3 m'
_space_group_IT_number 225
_space_group_name_Hall '-F 4 2 3'
_cell_length_a 5.8963
_cell_length_b 5.8963
_cell_length_c 5.8963
_cell_angle_alpha 90.00
_cell_angle_beta 90.00
_cell_angle_gamma 90.00
loop_
_atom_site_label
_atom_site_type_symbol
_atom_site_fract_x
_atom_site_fract_y
_atom_site_fract_z
Zn1 Zn 0.0000 0.0000 0.0000
Sb1 Sb 0.0000 0.0000 0.5000
C1 C 0.2500 0.2500 0.2500
```

3.
This record from Alexandria via LeMat-Bulk describes a relaxed structure of AcBi4. The functional is GGA-PBE.

Results
Distance to the lowest polymorph of the same formula (meV/atom): 0.0
Energy relative to the elements (eV per atom): -0.285
E_tot (eV per cell): -42.1

```
data_AcBi4
_space_group_name_H-M_alt 'C 1 2/m 1'
_space_group_IT_number 12
_cell_length_a 10.0201
_cell_length_b 5.7998
_cell_length_c 6.7348
_cell_angle_alpha 90.00
_cell_angle_beta 119.83
_cell_angle_gamma 90.00
loop_
_space_group_symop_operation_xyz
'x,y,z'
'-x,-y,-z'
'-x,y,-z'
'x,-y,z'
'x+1/2,y+1/2,z'
'-x+1/2,-y+1/2,-z'
'-x+1/2,y+1/2,-z'
'x+1/2,-y+1/2,z'
loop_
_atom_site_label
_atom_site_type_symbol
_atom_site_fract_x
_atom_site_fract_y
_atom_site_fract_z
Ac1 Ac 0.0000 0.0000 0.0000
Bi1 Bi 0.0921 0.5000 0.7768
Bi2 Bi 0.2201 0.0000 0.6612
```

4.
This record from Alexandria via LeMat-Bulk describes a relaxed structure of NdPu2Mn. The functional is GGA-PBE.

Results
Distance to the lowest polymorph of the same formula (meV/atom): 368.6
Energy relative to the elements (eV per atom): 0.528
E_tot (eV per cell): -121.5

```
data_NdPu2Mn
_space_group_name_H-M_alt 'R -3 m'
_space_group_IT_number 166
_space_group_name_Hall '-R 3 2"'
_cell_length_a 4.2855
_cell_length_b 4.2855
_cell_length_c 16.7129
_cell_angle_alpha 90.00
_cell_angle_beta 90.00
_cell_angle_gamma 120.00
loop_
_atom_site_label
_atom_site_type_symbol
_atom_site_fract_x
_atom_site_fract_y
_atom_site_fract_z
Nd1 Nd 0.0000 0.0000 0.0000
Pu1 Pu 0.0000 0.0000 0.1759
Mn1 Mn 0.0000 0.0000 0.5000
```

- Which formula does entry 3 have?
  AcBi4

- The lowest E_tot belongs to which entry?
  AlCr

- Which of these has the highest E_tot?
  AcBi4

Please write out number 3 again, unchanged.
This record from Alexandria via LeMat-Bulk describes a relaxed structure of AcBi4. The functional is GGA-PBE.

Results
Distance to the lowest polymorph of the same formula (meV/atom): 0.0
Energy relative to the elements (eV per atom): -0.285
E_tot (eV per cell): -42.1

```
data_AcBi4
_space_group_name_H-M_alt 'C 1 2/m 1'
_space_group_IT_number 12
_cell_length_a 10.0201
_cell_length_b 5.7998
_cell_length_c 6.7348
_cell_angle_alpha 90.00
_cell_angle_beta 119.83
_cell_angle_gamma 90.00
loop_
_space_group_symop_operation_xyz
'x,y,z'
'-x,-y,-z'
'-x,y,-z'
'x,-y,z'
'x+1/2,y+1/2,z'
'-x+1/2,-y+1/2,-z'
'-x+1/2,y+1/2,-z'
'x+1/2,-y+1/2,z'
loop_
_atom_site_label
_atom_site_type_symbol
_atom_site_fract_x
_atom_site_fract_y
_atom_site_fract_z
Ac1 Ac 0.0000 0.0000 0.0000
Bi1 Bi 0.0921 0.5000 0.7768
Bi2 Bi 0.2201 0.0000 0.6612
```